Entry 1:
Entry from Alexandria: a relaxed Tb4Sb2N crystal (PBE).

The crystal system is tetragonal. The value obtained for the energy above the most stable polymorph in this dataset is 0 meV per atom.

abc: 4.655 4.655 16.194
angles: 90.00 90.00 90.00
Space group I4/mmm (No. 139)
Asymmetric unit:
Tb1 0.000 0.000 0.164
Tb2 0.000 0.500 0.000
Sb1 0.000 0.000 0.357
N1 0.000 0.000 0.000

=====

Entry 2:
Entry from Alexandria: a relaxed Tb2Th4Sb3N2 crystal (PBE).

As for the final energy: -78.94 eV per formula unit. The crystal system is tetragonal.

abc: 4.741 4.741 26.209
angles: 90.00 90.00 90.00
Space group I4/mmm (No. 139)
Asymmetric unit:
Tb1 0.000 0.000 0.197
Th1 0.000 0.500 0.086
Sb1 0.000 0.000 0.320
Sb2 0.000 0.000 0.500
N1 0.000 0.000 0.108

=====

Entry 3:
Entry from Alexandria: a relaxed TbThSb2N crystal (PBE).

As for the final energy: -33.57 eV per formula unit. The crystal system is tetragonal.

abc: 4.177 4.177 14.757
angles: 90.00 90.00 90.00
Space group P4/nmm (No. 129, origin choice 2)
Asymmetric unit:
Tb1 0.250 0.250 0.072
Th1 0.250 0.250 0.575
Sb1 0.250 0.250 0.277
Sb2 0.250 0.250 0.859
N1 0.250 0.750 0.500

=====

Entry 4:
Entry from Alexandria: a relaxed Tb2TmSbN4 crystal (PBE).

As for the final energy: -59.68 eV per formula unit. The crystal system is monoclinic.

abc: 6.023 3.477 6.053
angles: 90.00 109.32 90.00
Space group P2/m (No. 10)
Asymmetric unit:
Tb1 0.000 0.000 0.000
Tb2 0.000 0.500 0.500
Tm1 0.500 0.000 0.500
Sb1 0.500 0.500 0.000
N1 0.241 0.000 0.737
N2 0.249 0.500 0.259

=====

Entry 5:
Entry from Alexandria: a relaxed Tb4Y2Sb3N2 crystal (PBE).

As for the final energy: -73.60 eV per formula unit. The crystal system is tetragonal.

abc: 4.662 4.662 25.149
angles: 90.00 90.00 90.00
Space group I4/mmm (No. 139)
Asymmetric unit:
Tb1 0.000 0.500 0.084
Y1 0.000 0.000 0.193
Sb1 0.000 0.000 0.320
Sb2 0.000 0.000 0.500
N1 0.000 0.000 0.103

=====

Entry 6:
Entry from Alexandria: a relaxed TcSb3N crystal (PBE).

The crystal system is cubic. The value obtained for the energy above the most stable polymorph in this dataset is 528 meV per atom.

abc: 5.055 5.055 5.055
angles: 90.00 90.00 90.00
Space group Pm-3m (No. 221)
Asymmetric unit:
Tc1 0.000 0.000 0.000
Sb1 0.000 0.000 0.500
N1 0.500 0.500 0.500

=====

| no. | total moment (μB/cell) |
| --- | --- |
| 1 | 0.00 |
| 2 | 0.00 |
| 3 | 0.00 |
| 4 | 0.00 |
| 5 | 0.00 |
| 6 | 0.00 |